Below is crystalline CaAcNiGe at its relaxed geometry, with properties calculated at the PBE level.

Cell: 5.2236 5.2236 5.2236 Å, 60.00 60.00 60.00°
Positions (direct):
Ni1 0.2500 0.2500 0.2500
Ac1 0.0000 0.0000 0.0000
Ca1 0.5000 0.5000 0.5000
Ge1 0.7500 0.7500 0.7500

total energy	-4.44	eV/atom
total moment	0.17	Bohr magnetons per cell
ΔE_f	-0.311	eV/atom
DOS(E_F)	0.917	states/eV/atom